Below is a relaxed Ba2MgIn6Bi crystal, with properties calculated at the GGA-PBE level.

- Crystal system: triclinic
- Fermi-level density of states: 5.5 states/eV/cell
- Energy relative to the elements: -2.7 eV per formula unit
- SG: P-1, No. 2
- Magnetic moment: 0.0 μB per cell

abc: 7.991 7.910 7.980
angles: 92.97 45.10 110.55
Sites, in units of the cell vectors:
Ba (0.262, 0.767, 0.494)
Ba (0.738, 0.233, 0.506)
Mg (0.500, 0.500, 0.000)
In (0.190, 0.677, 0.013)
In (0.745, 0.931, 0.811)
In (0.314, 0.325, 0.488)
In (0.810, 0.323, 0.987)
In (0.255, 0.069, 0.189)
In (0.686, 0.675, 0.512)
Bi (0.000, 0.000, 0.000)